Record 1
Material: ReSi2C
Method: DFT, PBE-GGA
State: optimized geometry

The space group is I-42d (No. 122) and the conventional cell measures 5.476, 5.476 and 7.261 Å, with angles of 90.00, 90.00 and 90.00 degrees. The distinct sites, in fractional coordinates, are Re at (0.000, 0.000, 0.000), Si at (0.164, 0.750, 0.625) and C at (0.000, 0.000, 0.500).

The theoretical density is 7.8 Mg/m³. The value obtained for the uncorrected formation energy is 2.8 eV/f.u. The calculation puts the density of states at the Fermi level at 21.15 states/eV per cell.



Record 2
Material: Re3SiC
Method: DFT, PBE-GGA
State: optimized geometry

The space group is Pm-3m (No. 221) and the conventional cell measures 4.060, 4.060 and 4.060 Å, with angles of 90.00, 90.00 and 90.00 degrees. The distinct sites, in fractional coordinates, are Re at (0.000, 0.000, 0.500), Si at (0.500, 0.500, 0.500) and C at (0.000, 0.000, 0.000).

The theoretical density is 14.9 Mg/m³. The value obtained for the uncorrected formation energy is 2.4 eV/f.u. The calculation puts the density of states at the Fermi level at 4.60 states/eV per cell.



Record 3
Material: ReSiC2
Method: DFT, PBE-GGA
State: optimized geometry

The space group is I-42d (No. 122) and the conventional cell measures 4.654, 4.654 and 8.560 Å, with angles of 90.00, 90.00 and 90.00 degrees. The distinct sites, in fractional coordinates, are Re at (0.000, 0.000, 0.000), Si at (0.000, 0.000, 0.500) and C at (0.226, 0.250, 0.625).

The theoretical density is 8.5 Mg/m³. The value obtained for the uncorrected formation energy is 2.2 eV/f.u. The calculation puts the density of states at the Fermi level at 6.52 states/eV per cell.



Record 4
Material: SmRe2SiC
Method: DFT, PBE-GGA
State: optimized geometry

The space group is Cmcm (No. 63) and the conventional cell measures 3.994, 10.915 and 7.363 Å, with angles of 90.00, 90.00 and 90.00 degrees. The distinct sites, in fractional coordinates, are Sm at (0.000, 0.043, 0.250), Re at (0.000, 0.325, 0.061), Si at (0.000, 0.234, 0.750) and C at (0.000, 0.500, 0.000).

The theoretical density is 11.6 Mg/m³. The value obtained for the uncorrected formation energy is -2.3 eV/f.u. The calculation puts the density of states at the Fermi level at 8.42 states/eV per cell.